[1]
Cs2NaMoP | GGA-PBE | relaxed

**Energy of formation from the pure elements**: 1.10 eV/atom

Geometry as CIF:
```
data_Cs2NaMoP
_chemical_formula_sum 'Cs2 Na1 Mo1 P1'
_space_group_name_H-M_alt 'P 4/m m m'
_space_group_IT_number 123
_space_group_name_Hall '-P 4 2'
_cell_length_a 6.754
_cell_length_b 6.754
_cell_length_c 5.095
_cell_angle_alpha 90.00
_cell_angle_beta 90.00
_cell_angle_gamma 90.00
loop_
_atom_site_label
_atom_site_type_symbol
_atom_site_fract_x
_atom_site_fract_y
_atom_site_fract_z
_atom_site_occupancy
Cs1 Cs 0.000 0.500 0.000 1
Na1 Na 0.000 0.000 0.000 1
Mo1 Mo 0.500 0.500 0.500 1
P1 P 0.000 0.000 0.500 1
```

[2]
CsNa2MoP | GGA-PBE | relaxed

**Energy of formation from the pure elements**: 0.38 eV/atom

Geometry as CIF:
```
data_CsNa2MoP
_chemical_formula_sum 'Cs1 Na2 Mo1 P1'
_space_group_name_H-M_alt 'P 4/m m m'
_space_group_IT_number 123
_space_group_name_Hall '-P 4 2'
_cell_length_a 5.629
_cell_length_b 5.629
_cell_length_c 4.697
_cell_angle_alpha 90.00
_cell_angle_beta 90.00
_cell_angle_gamma 90.00
loop_
_atom_site_label
_atom_site_type_symbol
_atom_site_fract_x
_atom_site_fract_y
_atom_site_fract_z
_atom_site_occupancy
Cs1 Cs 0.000 0.000 0.000 1
Na1 Na 0.000 0.500 0.500 1
Mo1 Mo 0.500 0.500 0.000 1
P1 P 0.500 0.500 0.500 1
```

[3]
CsNa2ScMo | GGA-PBE | relaxed

**Energy of formation from the pure elements**: 1.60 eV/atom

Geometry as CIF:
```
data_CsNa2ScMo
_chemical_formula_sum 'Cs1 Na2 Sc1 Mo1'
_space_group_name_H-M_alt 'P 4/m m m'
_space_group_IT_number 123
_space_group_name_Hall '-P 4 2'
_cell_length_a 5.876
_cell_length_b 5.876
_cell_length_c 6.515
_cell_angle_alpha 90.00
_cell_angle_beta 90.00
_cell_angle_gamma 90.00
loop_
_atom_site_label
_atom_site_type_symbol
_atom_site_fract_x
_atom_site_fract_y
_atom_site_fract_z
_atom_site_occupancy
Cs1 Cs 0.000 0.000 0.000 1
Na1 Na 0.000 0.500 0.500 1
Sc1 Sc 0.500 0.500 0.000 1
Mo1 Mo 0.000 0.000 0.500 1
```

[4]
Cs2NaMoSe4 | GGA-PBE | relaxed

Geometry as CIF:
```
data_Cs2NaMoSe4
_chemical_formula_sum 'Cs16 Na8 Mo8 Se32'
_space_group_name_H-M_alt 'F d d d'
_space_group_IT_number 70
_cell_length_a 6.660
_cell_length_b 14.525
_cell_length_c 25.883
_cell_angle_alpha 90.00
_cell_angle_beta 90.00
_cell_angle_gamma 90.00
loop_
_space_group_symop_operation_xyz
'x,y,z'
'-x,-y,-z'
'-x+1/4,-y+1/4,z'
'x+1/4,y+1/4,-z'
'x,-y+1/4,-z+1/4'
'-x,y+1/4,z+1/4'
'-x+1/4,y,-z+1/4'
'x+1/4,-y,z+1/4'
'x,y+1/2,z+1/2'
'-x,-y+1/2,-z+1/2'
'-x+1/4,-y+3/4,z+1/2'
'x+1/4,y+3/4,-z+1/2'
'x,-y+3/4,-z+3/4'
'-x,y+3/4,z+3/4'
'-x+1/4,y+1/2,-z+3/4'
'x+1/4,-y+1/2,z+3/4'
'x+1/2,y,z+1/2'
'-x+1/2,-y,-z+1/2'
'-x+3/4,-y+1/4,z+1/2'
'x+3/4,y+1/4,-z+1/2'
'x+1/2,-y+1/4,-z+3/4'
'-x+1/2,y+1/4,z+3/4'
'-x+3/4,y,-z+3/4'
'x+3/4,-y,z+3/4'
'x+1/2,y+1/2,z'
'-x+1/2,-y+1/2,-z'
'-x+3/4,-y+3/4,z'
'x+3/4,y+3/4,-z'
'x+1/2,-y+3/4,-z+1/4'
'-x+1/2,y+3/4,z+1/4'
'-x+3/4,y+1/2,-z+1/4'
'x+3/4,-y+1/2,z+1/4'
loop_
_atom_site_label
_atom_site_type_symbol
_atom_site_fract_x
_atom_site_fract_y
_atom_site_fract_z
_atom_site_occupancy
Cs1 Cs 0.125 0.125 0.304 1
Na1 Na 0.125 0.125 0.125 1
Mo1 Mo 0.125 0.125 0.625 1
Se1 Se 0.075 0.278 0.821 1
```

[5]
CsNaMo2W | GGA-PBE | relaxed

**Energy of formation from the pure elements**: 1.58 eV/atom

Geometry as CIF:
```
data_CsNaMo2W
_chemical_formula_sum 'Cs1 Na1 Mo2 W1'
_space_group_name_H-M_alt 'P 4/m m m'
_space_group_IT_number 123
_space_group_name_Hall '-P 4 2'
_cell_length_a 4.888
_cell_length_b 4.888
_cell_length_c 6.186
_cell_angle_alpha 90.00
_cell_angle_beta 90.00
_cell_angle_gamma 90.00
loop_
_atom_site_label
_atom_site_type_symbol
_atom_site_fract_x
_atom_site_fract_y
_atom_site_fract_z
_atom_site_occupancy
Cs1 Cs 0.000 0.000 0.000 1
Na1 Na 0.500 0.500 0.000 1
Mo1 Mo 0.000 0.500 0.500 1
W1 W 0.500 0.500 0.500 1
```

[6]
CsNb3Mo | GGA-PBE | relaxed

**Energy of formation from the pure elements**: 1.57 eV/atom
**Energy relative to the lowest polymorph listed for this composition**: 0 meV per atom

Geometry as CIF:
```
data_CsNb3Mo
_chemical_formula_sum 'Cs1 Nb3 Mo1'
_space_group_name_H-M_alt 'P m -3 m'
_space_group_IT_number 221
_space_group_name_Hall '-P 4 2 3'
_cell_length_a 5.057
_cell_length_b 5.057
_cell_length_c 5.057
_cell_angle_alpha 90.00
_cell_angle_beta 90.00
_cell_angle_gamma 90.00
loop_
_atom_site_label
_atom_site_type_symbol
_atom_site_fract_x
_atom_site_fract_y
_atom_site_fract_z
_atom_site_occupancy
Cs1 Cs 0.000 0.000 0.000 1
Nb1 Nb 0.000 0.500 0.500 1
Mo1 Mo 0.500 0.500 0.500 1
```

[7]
Cs3NbMo | GGA-PBE | relaxed

**Energy of formation from the pure elements**: 2.62 eV/atom
**Energy relative to the lowest polymorph listed for this composition**: 0 meV per atom

Geometry as CIF:
```
data_Cs3NbMo
_chemical_formula_sum 'Cs3 Nb1 Mo1'
_space_group_name_H-M_alt 'P m -3 m'
_space_group_IT_number 221
_space_group_name_Hall '-P 4 2 3'
_cell_length_a 5.971
_cell_length_b 5.971
_cell_length_c 5.971
_cell_angle_alpha 90.00
_cell_angle_beta 90.00
_cell_angle_gamma 90.00
loop_
_atom_site_label
_atom_site_type_symbol
_atom_site_fract_x
_atom_site_fract_y
_atom_site_fract_z
_atom_site_occupancy
Cs1 Cs 0.000 0.000 0.500 1
Nb1 Nb 0.500 0.500 0.500 1
Mo1 Mo 0.000 0.000 0.000 1
```

[8]
CsNb3Mo | GGA-PBE | relaxed

**Energy of formation from the pure elements**: 3.09 eV/atom
**Energy relative to the lowest polymorph listed for this composition**: 1518 meV per atom

Geometry as CIF:
```
data_CsNb3Mo
_chemical_formula_sum 'Cs1 Nb3 Mo1'
_space_group_name_H-M_alt 'P m -3 m'
_space_group_IT_number 221
_space_group_name_Hall '-P 4 2 3'
_cell_length_a 4.953
_cell_length_b 4.953
_cell_length_c 4.953
_cell_angle_alpha 90.00
_cell_angle_beta 90.00
_cell_angle_gamma 90.00
loop_
_atom_site_label
_atom_site_type_symbol
_atom_site_fract_x
_atom_site_fract_y
_atom_site_fract_z
_atom_site_occupancy
Cs1 Cs 0.000 0.000 0.000 1
Nb1 Nb 0.000 0.000 0.500 1
Mo1 Mo 0.500 0.500 0.500 1
```

[9]
Cs2NbMo | GGA-PBE | relaxed

**Energy of formation from the pure elements**: 2.66 eV/atom
**Energy relative to the lowest polymorph listed for this composition**: 0 meV per atom

Geometry as CIF:
```
data_Cs2NbMo
_chemical_formula_sum 'Cs8 Nb4 Mo4'
_space_group_name_H-M_alt 'F m -3 m'
_space_group_IT_number 225
_space_group_name_Hall '-F 4 2 3'
_cell_length_a 7.357
_cell_length_b 7.357
_cell_length_c 7.357
_cell_angle_alpha 90.00
_cell_angle_beta 90.00
_cell_angle_gamma 90.00
loop_
_atom_site_label
_atom_site_type_symbol
_atom_site_fract_x
_atom_site_fract_y
_atom_site_fract_z
_atom_site_occupancy
Cs1 Cs 0.250 0.250 0.250 1
Nb1 Nb 0.000 0.000 0.000 1
Mo1 Mo 0.000 0.000 0.500 1
```

[10]
CsNbMo2 | GGA-PBE | relaxed

**Energy of formation from the pure elements**: 1.77 eV/atom
**Energy relative to the lowest polymorph listed for this composition**: 0 meV per atom

Geometry as CIF:
```
data_CsNbMo2
_chemical_formula_sum 'Cs4 Nb4 Mo8'
_space_group_name_H-M_alt 'F m -3 m'
_space_group_IT_number 225
_space_group_name_Hall '-F 4 2 3'
_cell_length_a 6.814
_cell_length_b 6.814
_cell_length_c 6.814
_cell_angle_alpha 90.00
_cell_angle_beta 90.00
_cell_angle_gamma 90.00
loop_
_atom_site_label
_atom_site_type_symbol
_atom_site_fract_x
_atom_site_fract_y
_atom_site_fract_z
_atom_site_occupancy
Cs1 Cs 0.000 0.000 0.000 1
Nb1 Nb 0.000 0.000 0.500 1
Mo1 Mo 0.250 0.250 0.250 1
```

[11]
Cs2NbMo | GGA-PBE | relaxed

**Energy of formation from the pure elements**: 3.31 eV/atom
**Energy relative to the lowest polymorph listed for this composition**: 644 meV per atom

Geometry as CIF:
```
data_Cs2NbMo
_chemical_formula_sum 'Cs8 Nb4 Mo4'
_space_group_name_H-M_alt 'I -4 2 d'
_space_group_IT_number 122
_space_group_name_Hall 'I -4 2bw'
_cell_length_a 6.360
_cell_length_b 6.360
_cell_length_c 12.595
_cell_angle_alpha 90.00
_cell_angle_beta 90.00
_cell_angle_gamma 90.00
loop_
_atom_site_label
_atom_site_type_symbol
_atom_site_fract_x
_atom_site_fract_y
_atom_site_fract_z
_atom_site_occupancy
Cs1 Cs 0.240 0.250 0.125 1
Nb1 Nb 0.000 0.000 0.500 1
Mo1 Mo 0.000 0.000 0.000 1
```

[12]
CsNbMo2 | GGA-PBE | relaxed

**Energy of formation from the pure elements**: 1.94 eV/atom
**Energy relative to the lowest polymorph listed for this composition**: 162 meV per atom

Geometry as CIF:
```
data_CsNbMo2
_chemical_formula_sum 'Cs4 Nb4 Mo8'
_space_group_name_H-M_alt 'I -4 2 d'
_space_group_IT_number 122
_space_group_name_Hall 'I -4 2bw'
_cell_length_a 5.085
_cell_length_b 5.085
_cell_length_c 17.797
_cell_angle_alpha 90.00
_cell_angle_beta 90.00
_cell_angle_gamma 90.00
loop_
_atom_site_label
_atom_site_type_symbol
_atom_site_fract_x
_atom_site_fract_y
_atom_site_fract_z
_atom_site_occupancy
Cs1 Cs 0.000 0.000 0.000 1
Nb1 Nb 0.000 0.000 0.500 1
Mo1 Mo 0.058 0.250 0.625 1
```

Across the entries above, energy takes the values -13.768, -17.842, -12.661, -34.559, -28.882, -34.034, -10.378, -26.446, -11.962, -25.486, -9.385, -24.836 eV/f.u., respectively.